VASP calculation (GGA-PBE) on PrGe2IrRh2 after structural relaxation.

- ΔH_f (0 K): -0.182 eV/atom
- DOS(E_F): 4.69 states/eV per cell
- Magnetic moment: 0.0 μB per formula unit
- Energy: -6.4447 eV/atom
- SG: P4/mmm, No. 123

Lattice parameters (Å, degrees): 4.6604 4.6604 5.6362 90.00 90.00 90.00
Element x y z (fractional)
Pr 0.0000 0.0000 0.0000
Ge 0.0000 0.5000 0.5000
Ge 0.5000 0.0000 0.5000
Ir 0.0000 0.0000 0.5000
Rh 0.5000 0.5000 0.2484
Rh 0.5000 0.5000 0.7516

=====

VASP calculation (GGA-PBE) on PrGe2IrRu after structural relaxation.

- ΔH_f (0 K): -0.734 eV/atom
- DOS(E_F): 2.68 states/eV per cell
- Magnetic moment: 0.0 μB per formula unit
- Energy: -7.1647 eV/atom
- SG: I-4m2, No. 119

Lattice parameters (Å, degrees): 5.9711 5.9711 5.9711 138.18 138.18 60.63
Element x y z (fractional)
Pr 0.0000 0.0000 0.0000
Ge 0.3713 0.3713 0.0000
Ge 0.6287 0.6287 0.0000
Ir 0.2500 0.7500 0.5000
Ru 0.7500 0.2500 0.5000

=====

VASP calculation (GGA-PBE) on Pr2Ge3Ir4Ru after structural relaxation.

- ΔH_f (0 K): -0.633 eV/atom
- DOS(E_F): 7.25 states/eV per cell
- Magnetic moment: 0.0 μB per formula unit
- Energy: -7.4457 eV/atom
- SG: P-4m2, No. 115

Lattice parameters (Å, degrees): 4.2510 4.2510 10.3864 90.00 90.00 90.00
Element x y z (fractional)
Pr 0.0000 0.5000 0.2480
Pr 0.5000 0.0000 0.7520
Ge 0.0000 0.5000 0.8692
Ge 0.5000 0.0000 0.1308
Ge 0.5000 0.5000 0.5000
Ir 0.0000 0.0000 0.0000
Ir 0.0000 0.5000 0.6307
Ir 0.5000 0.0000 0.3693
Ir 0.5000 0.5000 0.0000
Ru 0.0000 0.0000 0.5000

=====

VASP calculation (GGA-PBE) on Pr2Ge4Ir3Ru after structural relaxation.

- ΔH_f (0 K): -0.741 eV/atom
- DOS(E_F): 5.00 states/eV per cell
- Magnetic moment: 0.0 μB per formula unit
- Energy: -7.1302 eV/atom
- SG: P-4m2, No. 115

Lattice parameters (Å, degrees): 4.3409 4.3409 9.9824 90.00 90.00 90.00
Element x y z (fractional)
Pr 0.0000 0.5000 0.2481
Pr 0.5000 0.0000 0.7519
Ge 0.0000 0.0000 0.0000
Ge 0.0000 0.5000 0.6254
Ge 0.5000 0.0000 0.3746
Ge 0.5000 0.5000 0.0000
Ir 0.0000 0.5000 0.8740
Ir 0.5000 0.0000 0.1260
Ir 0.5000 0.5000 0.5000
Ru 0.0000 0.0000 0.5000

=====

VASP calculation (GGA-PBE) on Pr2GeSb3Ir4 after structural relaxation.

- DOS(E_F): 6.08 states/eV per cell
- Magnetic moment: 0.0 μB per formula unit
- Energy: -6.8375 eV/atom
- SG: P-4m2, No. 115
- Formation energy (no corrections): -639 meV/atom

Lattice parameters (Å, degrees): 4.4392 4.4392 10.7270 90.00 90.00 90.00
Element x y z (fractional)
Pr 0.0000 0.5000 0.2445
Pr 0.5000 0.0000 0.7555
Ge 0.5000 0.5000 0.0000
Sb 0.0000 0.0000 0.0000
Sb 0.0000 0.5000 0.6387
Sb 0.5000 0.0000 0.3613
Ir 0.0000 0.0000 0.5000
Ir 0.0000 0.5000 0.8792
Ir 0.5000 0.0000 0.1208
Ir 0.5000 0.5000 0.5000

=====

VASP calculation (GGA-PBE) on Pr2Ge3SbIr4 after structural relaxation.

- DOS(E_F): 4.43 states/eV per cell
- Magnetic moment: 0.0 μB per formula unit
- Energy: -7.0124 eV/atom
- SG: P-4m2, No. 115
- Formation energy (no corrections): -715 meV/atom

Lattice parameters (Å, degrees): 4.3339 4.3339 10.4197 90.00 90.00 90.00
Element x y z (fractional)
Pr 0.0000 0.5000 0.2461
Pr 0.5000 0.0000 0.7539
Ge 0.0000 0.5000 0.8727
Ge 0.5000 0.0000 0.1273
Ge 0.5000 0.5000 0.5000
Sb 0.0000 0.0000 0.5000
Ir 0.0000 0.0000 0.0000
Ir 0.0000 0.5000 0.6364
Ir 0.5000 0.0000 0.3636
Ir 0.5000 0.5000 0.0000

=====

VASP calculation (GGA-PBE) on Pr2ScGe3Ir4 after structural relaxation.

- ΔH_f (0 K): -0.826 eV/atom
- DOS(E_F): 5.17 states/eV per cell
- Magnetic moment: 0.0 μB per formula unit
- Energy: -7.3445 eV/atom
- SG: P-4m2, No. 115

Lattice parameters (Å, degrees): 4.1875 4.1875 11.0313 90.00 90.00 90.00
Element x y z (fractional)
Pr 0.0000 0.5000 0.2377
Pr 0.5000 0.0000 0.7623
Sc 0.0000 0.0000 0.5000
Ge 0.0000 0.5000 0.8752
Ge 0.5000 0.0000 0.1248
Ge 0.5000 0.5000 0.5000
Ir 0.0000 0.0000 0.0000
Ir 0.0000 0.5000 0.6487
Ir 0.5000 0.0000 0.3513
Ir 0.5000 0.5000 0.0000

=====

VASP calculation (GGA-PBE) on Pr2Si3GeIr4 after structural relaxation.

- DOS(E_F): 4.91 states/eV per cell
- Magnetic moment: 0.0 μB per formula unit
- Energy: -7.5481 eV/atom
- SG: P-4m2, No. 115
- Formation energy (no corrections): -959 meV/atom

Lattice parameters (Å, degrees): 4.2319 4.2319 9.9717 90.00 90.00 90.00
Element x y z (fractional)
Pr 0.0000 0.5000 0.2453
Pr 0.5000 0.0000 0.7547
Si 0.0000 0.0000 0.0000
Si 0.0000 0.5000 0.6281
Si 0.5000 0.0000 0.3719
Ge 0.5000 0.5000 0.0000
Ir 0.0000 0.0000 0.5000
Ir 0.0000 0.5000 0.8699
Ir 0.5000 0.0000 0.1301
Ir 0.5000 0.5000 0.5000